(1)
Below is Li2LaCd after structural relaxation, with properties calculated at the GGA-PBE level.

Structure (POSCAR):
```
Li2LaCd
1.0
4.621 0.000 0.000
0.000 4.621 0.000
2.310 2.310 10.335
Cd Li La
2 4 2
direct
0.500 0.500 0.000
0.250 0.750 0.500
0.515 0.125 0.250
0.235 0.625 0.250
0.375 0.485 0.750
0.875 0.765 0.750
0.000 0.000 0.000
0.750 0.250 0.500
```

## Properties
E_tot   -2.32 eV per atom
Energy of formation from the pure elements   9.3 kJ/mol of atoms

---

(2)
Below is LiLa4Cd2 after structural relaxation, with properties calculated at the GGA-PBE level.

Structure (POSCAR):
```
LiLa4Cd2
1.0
5.235 0.000 1.635
2.362 4.672 1.635
-0.032 -0.020 9.299
Li La Cd
1 4 2
direct
0.000 0.000 0.000
0.868 0.868 0.395
0.132 0.132 0.605
0.615 0.615 0.154
0.385 0.385 0.846
0.742 0.742 0.773
0.258 0.258 0.227
```

## Properties
E_tot   -3.42 eV per atom
Energy of formation from the pure elements   -6.4 kJ/mol of atoms

---

(3)
Below is Li2LaCd after structural relaxation, with properties calculated at the GGA-PBE level.

Structure (POSCAR):
```
Li2LaCd
1.0
-0.722 -2.687 2.187
2.766 0.899 2.018
-4.616 4.689 4.237
Cd Li La
1 2 1
direct
0.000 0.000 0.445
0.000 0.000 0.061
0.500 0.500 0.259
0.500 0.500 0.735
```

## Properties
E_tot   -2.52 eV per atom
Energy of formation from the pure elements   -10.3 kJ/mol of atoms

---

(4)
Below is Li2LaCd6 after structural relaxation, with properties calculated at the GGA-PBE level.

Structure (POSCAR):
```
Li2LaCd6
1.0
8.783 0.000 0.000
4.392 7.606 0.000
4.392 2.535 7.171
Li La Cd
4 2 12
direct
0.125 0.125 0.125
0.125 0.625 0.125
0.125 0.125 0.625
0.625 0.125 0.125
0.500 0.500 0.500
0.750 0.750 0.750
0.239 0.239 0.761
0.761 0.761 0.239
0.239 0.761 0.239
0.239 0.761 0.761
0.489 0.489 0.011
0.489 0.011 0.011
0.761 0.239 0.761
0.011 0.011 0.489
0.489 0.011 0.489
0.011 0.489 0.489
0.761 0.239 0.239
0.011 0.489 0.011
```

## Properties
E_tot   -1.46 eV per atom
Energy of formation from the pure elements   12.2 kJ/mol of atoms

---

(5)
Below is Li2LaCd after structural relaxation, with properties calculated at the GGA-PBE level.

Structure (POSCAR):
```
Li2LaCd
1.0
5.254 0.015 0.000
-0.029 5.254 0.000
0.000 0.000 3.455
Cd La Li
1 1 2
direct
0.500 0.000 0.500
0.000 0.500 0.500
0.000 0.000 0.000
0.500 0.500 0.000
```

## Properties
E_tot   -2.39 eV per atom
Energy of formation from the pure elements   2.6 kJ/mol of atoms

---

(6)
Below is Li2LaCd after structural relaxation, with properties calculated at the GGA-PBE level.

Structure (POSCAR):
```
Li2LaCd
1.0
-4.222 -0.849 4.377
-2.846 -5.436 -0.238
5.326 2.969 0.726
Cd La Li
1 1 2
direct
0.750 0.250 0.500
0.250 0.750 0.500
0.965 0.965 0.000
0.535 0.535 0.000
```

## Properties
E_tot   -2.48 eV per atom
Energy of formation from the pure elements   -6.1 kJ/mol of atoms

---

(7)
Below is LiLa2Cd after structural relaxation, with properties calculated at the GGA-PBE level.

Structure (POSCAR):
```
LiLa2Cd
1.0
-2.242 4.065 2.113
0.735 -1.255 3.194
6.064 2.536 1.554
Cd Li La
1 1 2
direct
0.500 0.566 0.742
0.000 0.685 0.506
0.000 0.957 0.959
0.500 0.292 0.292
```

## Properties
E_tot   -3.29 eV per atom
Energy of formation from the pure elements   -11.3 kJ/mol of atoms

---

(8)
Below is LiLa2Cd after structural relaxation, with properties calculated at the GGA-PBE level.

Structure (POSCAR):
```
LiLa2Cd
1.0
6.433 0.017 0.000
5.289 3.663 0.000
2.301 0.722 4.881
Cd Li La
1 1 2
direct
0.217 0.217 0.282
0.534 0.534 0.467
0.986 0.986 0.015
0.763 0.763 0.736
```

## Properties
E_tot   -3.30 eV per atom
Energy of formation from the pure elements   -12.1 kJ/mol of atoms

---

(9)
Below is LiLa2Cd after structural relaxation, with properties calculated at the GGA-PBE level.

Structure (POSCAR):
```
LiLa2Cd
1.0
-1.195 -4.561 0.513
2.888 -0.966 -1.863
6.580 -1.263 4.093
Cd Li La
1 1 2
direct
0.500 0.750 0.750
0.500 0.250 0.250
0.000 0.022 0.980
0.000 0.478 0.520
```

## Properties
E_tot   -3.27 eV per atom
Energy of formation from the pure elements   -10.0 kJ/mol of atoms

---

(10)
Below is LiLa3Cd4 after structural relaxation, with properties calculated at the GGA-PBE level.

Structure (POSCAR):
```
LiLa3Cd4
1.0
-1.466 1.783 2.712
2.460 -1.330 2.205
10.132 13.311 -3.274
Cd La Li
4 3 1
direct
0.000 0.000 0.909
0.000 0.000 0.091
0.000 0.000 0.364
0.000 0.000 0.636
0.500 0.500 0.228
0.500 0.500 0.500
0.500 0.500 0.772
0.500 0.500 0.000
```

## Properties
E_tot   -2.83 eV per atom
Energy of formation from the pure elements   -27.6 kJ/mol of atoms

---

(11)
Below is LiLa2Cd after structural relaxation, with properties calculated at the GGA-PBE level.

Structure (POSCAR):
```
LiLa2Cd
1.0
6.239 0.015 0.000
2.694 5.627 0.000
-4.466 -2.821 3.319
Cd La Li
1 2 1
direct
0.750 0.250 0.500
0.000 0.000 0.000
0.250 0.750 0.500
0.500 0.500 0.000
```

## Properties
E_tot   -3.23 eV per atom
Energy of formation from the pure elements   -5.5 kJ/mol of atoms

---

(12)
Below is Li3LaCd after structural relaxation, with properties calculated at the GGA-PBE level.

Structure (POSCAR):
```
Li3LaCd
1.0
5.025 0.000 0.000
0.000 5.025 0.000
0.000 0.000 5.025
Cd Li La
1 3 1
direct
0.000 0.000 0.000
0.000 0.500 0.000
0.000 0.000 0.500
0.500 0.000 0.000
0.500 0.500 0.500
```

## Properties
E_tot   -2.20 eV per atom
Energy of formation from the pure elements   10.9 kJ/mol of atoms

---

(13)
Below is Li3LaCd4 after structural relaxation, with properties calculated at the GGA-PBE level.

Structure (POSCAR):
```
Li3LaCd4
1.0
4.575 0.000 1.351
2.088 4.071 1.351
-0.318 -0.194 9.502
Cd La Li
4 1 3
direct
0.871 0.871 0.386
0.400 0.400 0.800
0.129 0.129 0.614
0.600 0.600 0.200
0.000 0.000 0.000
0.237 0.237 0.288
0.763 0.763 0.712
0.500 0.500 0.500
```

## Properties
E_tot   -2.03 eV per atom
Energy of formation from the pure elements   -22.9 kJ/mol of atoms

---

(14)
Below is LiLa6Cd5 after structural relaxation, with properties calculated at the GGA-PBE level.

Structure (POSCAR):
```
LiLa6Cd5
1.0
5.422 0.002 -1.133
-0.003 7.909 -0.001
-1.014 0.000 8.700
Cd La Li
5 6 1
direct
0.664 0.500 0.332
0.340 0.000 0.675
0.000 0.500 0.000
0.660 0.000 0.325
0.336 0.500 0.668
0.834 0.751 0.665
0.834 0.249 0.665
0.500 0.253 0.000
0.500 0.747 0.000
0.166 0.751 0.335
0.166 0.249 0.335
0.000 0.000 0.000
```

## Properties
E_tot   -3.27 eV per atom
Energy of formation from the pure elements   -26.0 kJ/mol of atoms

---

(15)
Below is Li2LaCd after structural relaxation, with properties calculated at the GGA-PBE level.

Structure (POSCAR):
```
Li2LaCd
1.0
-0.758 1.709 2.642
2.076 -2.378 0.715
7.794 6.261 -1.812
Cd La Li
1 1 2
direct
0.500 0.500 0.250
0.500 0.500 0.750
0.000 0.000 0.034
0.000 0.000 0.466
```

## Properties
E_tot   -2.40 eV per atom
Energy of formation from the pure elements   1.5 kJ/mol of atoms

---

(16)
Below is Li2LaCd after structural relaxation, with properties calculated at the GGA-PBE level.

Structure (POSCAR):
```
Li2LaCd
1.0
-0.233 -0.668 -3.422
3.858 -3.935 0.506
-3.895 -3.692 0.986
Cd La Li
1 1 2
direct
0.500 0.000 0.500
0.000 0.500 0.500
0.000 0.000 0.000
0.500 0.500 0.000
```

## Properties
E_tot   -2.43 eV per atom
Energy of formation from the pure elements   -1.2 kJ/mol of atoms

---

(17)
Below is LiLa5Cd2 after structural relaxation, with properties calculated at the GGA-PBE level.

Structure (POSCAR):
```
LiLa5Cd2
1.0
-3.824 -3.112 -4.830
3.022 -5.242 3.319
-3.780 3.953 4.209
Li La Cd
1 5 2
direct
0.778 0.778 0.000
0.278 0.278 0.500
0.278 0.778 0.000
0.778 0.278 0.000
0.778 0.778 0.500
0.278 0.278 0.000
0.278 0.778 0.500
0.778 0.278 0.500
```

## Properties
E_tot   -3.65 eV per atom
Energy of formation from the pure elements   -10.0 kJ/mol of atoms

---

(18)
Below is Li3La2Cd4 after structural relaxation, with properties calculated at the GGA-PBE level.

Structure (POSCAR):
```
Li3La2Cd4
1.0
5.000 0.019 0.001
2.519 5.227 0.828
0.004 1.314 8.542
Li La Cd
3 2 4
direct
0.374 0.252 0.476
0.000 0.000 0.000
0.626 0.748 0.524
0.247 0.507 0.783
0.753 0.493 0.217
0.561 0.877 0.835
0.085 0.829 0.366
0.915 0.171 0.634
0.439 0.123 0.165
```

## Properties
E_tot   -2.39 eV per atom
Energy of formation from the pure elements   -24.4 kJ/mol of atoms

---

(19)
Below is Li9LaCd3 after structural relaxation, with properties calculated at the GGA-PBE level.

Structure (POSCAR):
```
Li9LaCd3
1.0
-4.941 -0.352 2.924
-3.265 -6.886 0.006
1.033 -1.832 7.183
Li La Cd
9 1 3
direct
0.723 0.781 0.781
0.277 0.219 0.219
0.496 0.219 0.781
0.504 0.781 0.219
0.628 0.349 0.355
0.372 0.651 0.645
0.017 0.651 0.355
0.983 0.349 0.645
0.000 0.500 0.000
0.000 0.000 0.000
0.500 0.500 0.000
0.000 0.000 0.500
0.500 0.000 0.500
```

## Properties
E_tot   -2.04 eV per atom
Energy of formation from the pure elements   -12.0 kJ/mol of atoms

---

(20)
Below is Li2La2Cd after structural relaxation, with properties calculated at the GGA-PBE level.

Structure (POSCAR):
```
Li2La2Cd
1.0
8.828 0.000 0.000
0.000 8.828 0.000
0.000 0.000 3.618
Cd Li La
2 4 4
direct
0.000 0.000 0.000
0.500 0.500 0.000
0.177 0.677 0.500
0.677 0.823 0.500
0.823 0.323 0.500
0.323 0.177 0.500
0.380 0.880 0.000
0.880 0.620 0.000
0.620 0.120 0.000
0.120 0.380 0.000
```

## Properties
E_tot   -2.71 eV per atom
Energy of formation from the pure elements   20.3 kJ/mol of atoms